[1]
Material: PmNdHo2
Method: DFT, PBE
State: relaxed

Computed properties:
Polymorph energy (0 for the lowest one)   0 meV/atom
SG   R-3m
Calculated total energy   -4.655 eV per atom
Magnetic moment   0.00 μB/cell
Energy of formation from the pure elements   0.013 eV per atom

a b c (Å): 11.8373 11.8373 11.8373
angles (deg): 17.49 17.49 17.49
Positions (direct):
Pm: 0.0000 0.0000 0.0000
Nd: 0.5000 0.5000 0.5000
Ho: 0.2503 0.2503 0.2503
Ho: 0.7497 0.7497 0.7497

***

[2]
Material: MgZnGaPb
Method: DFT, PBE
State: relaxed

Computed properties:
SG   F-43m
Calculated total energy   -2.295 eV per atom
Magnetic moment   0.00 μB/cell
Energy of formation from the pure elements   0.106 eV per atom

a b c (Å): 5.0398 5.0398 5.0398
angles (deg): 60.00 60.00 60.00
Positions (direct):
Mg: 0.0000 0.0000 0.0000
Zn: 0.2500 0.2500 0.2500
Ga: 0.7500 0.7500 0.7500
Pb: 0.5000 0.5000 0.5000